An optimized crystal structure of DyY2Cu4. Source: Alexandria via LeMat-Bulk, functional GGA-PBE.

abc: 6.7935 6.7935 6.7935
angles: 135.81 135.81 64.27
Positions (direct):
Dy 0.0000 0.0000 0.0000
Y 0.2883 0.2883 0.0000
Y 0.7117 0.7117 0.0000
Cu 0.1155 0.6155 0.5000
Cu 0.3845 0.8845 0.5000
Cu 0.6155 0.1155 0.5000
Cu 0.8845 0.3845 0.5000

Summary:
**Electronic total energy**: -4.855 eV/atom
**Formation enthalpy at 0 K**: -0.22 kcal/mol of atoms
**Theoretical density**: 6.6 g/cm3